Mg2AlRh2 | PBE-GGA | relaxed

Computed properties:
- E_form: -637 meV/atom
- Total magnetization: 0.000 μB per atom

a = 6.3604 Å, b = 6.3604 Å, c = 4.1312 Å
α = 90.00°, β = 90.00°, γ = 90.00°
Closest atoms and distances in Å follow each position.
Space group P4/mbm (No. 127)
Symmetry-distinct sites (fractional):
Mg 0.1627 0.3373 0.0000 [4 per cell]  6 Rh 2.69-2.85, 1 Mg 2.93
Al 0.0000 0.0000 0.5000 [2 per cell]  4 Rh 2.44
Rh 0.1453 0.6453 0.5000 [4 per cell]  2 Al 2.44, 1 Rh 2.61, 2 Mg 2.69